First-principles (PBE) data for a relaxed structure of LiTiInBr6, as listed in Alexandria via LeMat-Bulk.

Cell lengths 6.9107, 6.9107, 6.9037 Å; angles 90.00, 90.00, 59.99 degrees
Positions (direct):
1 Li 0.6666 0.6666 0.5000
2 Ti 0.3333 0.3333 0.5000
3 In 0.0000 0.0000 0.0000
4 Br 0.0213 0.3618 0.2862
5 Br 0.3617 0.0214 0.7138
6 Br 0.6169 0.3618 0.7138
7 Br 0.0212 0.6170 0.7138
8 Br 0.3618 0.6169 0.2862
9 Br 0.6170 0.0212 0.2862

Computed properties:
Total magnetization, μB/atom: 0.000
Energy relative to the elements, uncorrected, eV/f.u.: -10.06